Sr3GeF | PBE | relaxed

abc: 9.380 9.380 8.145
angles: 103.36 103.36 80.14
Sites, in units of the cell vectors:
Sr1 0.005 0.228 0.139
Sr2 0.106 0.632 0.387
Sr3 0.228 0.005 0.639
Sr4 0.316 0.413 0.988
Sr5 0.368 0.894 0.113
Sr6 0.413 0.316 0.488
Sr7 0.587 0.684 0.512
Sr8 0.632 0.106 0.887
Sr9 0.684 0.587 0.012
Sr10 0.772 0.995 0.361
Sr11 0.894 0.368 0.613
Sr12 0.995 0.772 0.861
Ge1 0.084 0.916 0.250
Ge2 0.348 0.652 0.750
Ge3 0.652 0.348 0.250
Ge4 0.916 0.084 0.750
F1 0.217 0.389 0.245
F2 0.389 0.217 0.745
F3 0.611 0.783 0.255
F4 0.783 0.611 0.755

## Properties
Polymorph energy (0 for the lowest one) ... 0 meV per atom
Symmetry ... No. 15
DOS(E_F) ... 0.36 states/eV/atom
Calculated total energy ... -3.698 eV/atom
Formation energy (no corrections) ... -1391 meV per atom

=====

Tl3InMo | PBE | relaxed

abc: 5.417 5.417 5.417
angles: 90.00 90.00 90.00
Sites, in units of the cell vectors:
Tl1 0.000 0.000 0.500
Tl2 0.000 0.500 0.000
Tl3 0.500 0.000 0.000
In1 0.500 0.500 0.500
Mo1 0.000 0.000 0.000

## Properties
Polymorph energy (0 for the lowest one) ... 0 meV per atom
Formation enthalpy at 0 K ... 0.5691 eV/atom
Symmetry ... No. 221
DOS(E_F) ... 0.64 states/eV/atom
Calculated total energy ... -3.565 eV/atom

=====

RbCd2Pb10 | PBE | relaxed

abc: 11.547 9.083 8.450
angles: 82.30 51.21 46.48
Sites, in units of the cell vectors:
Rb1 0.000 0.000 0.000
Cd1 0.000 0.500 0.000
Cd2 0.500 0.000 0.500
Pb1 0.000 0.000 0.500
Pb2 0.000 0.356 0.644
Pb3 0.000 0.644 0.356
Pb4 0.274 0.492 0.508
Pb5 0.356 0.000 0.000
Pb6 0.492 0.274 0.726
Pb7 0.500 0.500 0.000
Pb8 0.508 0.726 0.274
Pb9 0.644 0.000 0.000
Pb10 0.726 0.508 0.492

## Properties
Formation enthalpy at 0 K ... -0.0235 eV/atom
Symmetry ... No. 69
DOS(E_F) ... 0.40 states/eV/atom
Calculated total energy ... -3.091 eV/atom

=====

What is the DOS(E_F) in the second record?
0.64 states/eV/atom